# Fe2I4Br

A relaxed Fe2I4Br crystal (PBE-GGA, the Alexandria database).

Summary:
Energy relative to the elements, uncorrected = -0.10 eV per atom

Unit cell a=9.940 b=8.085 c=11.408 alpha=58.38 beta=43.84 gamma=77.77
Positions (direct):
Fe 0.310 0.690 0.539
Fe 0.690 0.310 0.461
Fe 0.711 0.789 0.940
Fe 0.789 0.711 0.560
I 0.102 0.968 0.609
I 0.103 0.572 0.503
I 0.428 0.747 0.678
I 0.572 0.103 0.822
I 0.641 0.930 0.148
I 0.747 0.428 0.147
I 0.930 0.641 0.282
I 0.968 0.102 0.320
Br 0.332 0.332 0.668
Br 0.582 0.582 0.918